Below is a geometry-optimized ZrCoI2O structure, with properties calculated at the GGA+U level.

As for the relative energy among the computed polymorphs: 0.479 eV per atom. As for the space group: P4/mmm (123). Its density of states at the Fermi level is 0.52 states/eV/atom. As for the total magnetic moment: 0.8643 μB per atom. The calculation puts the total energy at -4.441 eV per atom. The crystal system is tetragonal.

Cell: 5.598 5.598 3.580 Å, 90.00 90.00 90.00°
Fractional positions:
Zr  0.000  0.000  0.000
Co  0.500  0.500  0.500
I  0.000  0.500  0.500
I  0.500  0.000  0.500
O  0.500  0.500  0.000